Below is a relaxed structure of Nd4ScHg5, with properties calculated at the PBE level.

Calculated values
VASP energy = -3.141 eV/atom
ΔE_f = -0.450 eV/atom
M_tot = 1.91 Bohr magnetons per cell
Space-group type = P4/mmm, No. 123

The structure in POSCAR format:
```
Nd4ScHg5
1.0
3.737 0.000 0.000
0.000 3.737 0.000
0.000 0.000 19.283
Nd Sc Hg
4 1 5
direct
0.000 0.000 0.103
0.000 0.000 0.310
0.000 0.000 0.690
0.000 0.000 0.897
0.000 0.000 0.500
0.500 0.500 0.000
0.500 0.500 0.206
0.500 0.500 0.417
0.500 0.500 0.583
0.500 0.500 0.794
```